No. 1
Compound: Ga2CoIr
Source: Alexandria
Functional: PBE
Structure: optimized geometry Values from VASP.

The structure in Quantum ESPRESSO input format:
```
&SYSTEM
  ibrav = 0, nat = 16, ntyp = 3
/
ATOMIC_SPECIES
Ga 69.72 Ga.upf
Co 58.93 Co.upf
Ir 192.22 Ir.upf
ATOMIC_POSITIONS angstrom
Ga 1.492 1.492 1.492
Ga 1.492 1.492 4.475
Ga 1.492 4.475 1.492
Ga 1.492 4.475 4.475
Ga 4.475 1.492 1.492
Ga 4.475 1.492 4.475
Ga 4.475 4.475 1.492
Ga 4.475 4.475 4.475
Co 0.000 0.000 0.000
Co 0.000 2.983 2.983
Co 2.983 0.000 2.983
Co 2.983 2.983 0.000
Ir 0.000 0.000 2.983
Ir 0.000 2.983 0.000
Ir 2.983 0.000 0.000
Ir 2.983 2.983 2.983
CELL_PARAMETERS angstrom
5.966 0.000 0.000
0.000 5.966 0.000
0.000 0.000 5.966
```

Total DFT energy (no corrections) in eV per atom: -5.83
DOS at the Fermi energy in states/eV/cell: 9.94
Crystal system: cubic
Formation energy in eV per atom: -0.329

=====

No. 2
Compound: Ga6CoIr3
Source: Alexandria
Functional: PBE
Structure: optimized geometry Values from VASP.

The structure in Quantum ESPRESSO input format:
```
&SYSTEM
  ibrav = 0, nat = 20, ntyp = 3
/
ATOMIC_SPECIES
Ga 69.72 Ga.upf
Co 58.93 Co.upf
Ir 192.22 Ir.upf
ATOMIC_POSITIONS angstrom
Ga -1.328 0.216 2.062
Ga -4.403 3.027 5.991
Ga 0.975 4.211 0.502
Ga -2.100 5.518 4.431
Ga 2.279 1.034 0.515
Ga -0.797 2.209 4.444
Ga 0.947 4.277 3.414
Ga -2.128 5.452 7.343
Ga 2.251 0.968 3.427
Ga -0.825 2.275 7.356
Ga 4.554 3.459 1.867
Ga 1.478 6.270 5.796
Co 0.075 0.000 3.929
Co 3.151 3.243 0.000
Ir 0.000 0.000 0.000
Ir -3.076 3.243 3.929
Ir -2.734 1.093 5.947
Ir 0.342 2.150 2.018
Ir -0.191 4.336 5.840
Ir 2.884 5.393 1.911
CELL_PARAMETERS angstrom
6.302 0.000 0.000
0.000 6.486 0.000
-6.151 0.000 7.858
```

Total DFT energy (no corrections) in eV per atom: -5.38
DOS at the Fermi energy in states/eV/cell: 13.77
Crystal system: monoclinic
Formation energy in eV per atom: -0.195

=====

No. 3
Compound: GaCoIr3
Source: Alexandria
Functional: PBE
Structure: optimized geometry Values from VASP.

The structure in Quantum ESPRESSO input format:
```
&SYSTEM
  ibrav = 0, nat = 5, ntyp = 3
/
ATOMIC_SPECIES
Ga 69.72 Ga.upf
Co 58.93 Co.upf
Ir 192.22 Ir.upf
ATOMIC_POSITIONS angstrom
Ga 0.000 0.000 0.000
Co 2.235 2.235 2.235
Ir 0.000 2.235 2.235
Ir 2.235 0.000 2.235
Ir 2.235 2.235 0.000
CELL_PARAMETERS angstrom
4.470 0.000 0.000
0.000 4.470 0.000
0.000 0.000 4.470
```

Energy relative to the lowest polymorph listed for this composition in kJ/mol of atoms: 0.0
Total DFT energy (no corrections) in eV per atom: -6.07
DOS at the Fermi energy in states/eV/cell: 4.03
Crystal system: cubic
Formation energy in eV per atom: 1.277

=====

No. 4
Compound: GaCo2Ir
Source: Alexandria
Functional: PBE
Structure: optimized geometry Values from VASP.

The structure in Quantum ESPRESSO input format:
```
&SYSTEM
  ibrav = 0, nat = 4, ntyp = 3
/
ATOMIC_SPECIES
Ga 69.72 Ga.upf
Co 58.93 Co.upf
Ir 192.22 Ir.upf
ATOMIC_POSITIONS angstrom
Ga 0.000 0.000 0.000
Co 0.000 1.828 1.913
Co 1.828 0.000 1.913
Ir 1.828 1.828 0.000
CELL_PARAMETERS angstrom
3.656 0.000 0.000
0.000 3.656 0.000
0.000 0.000 3.827
```

Total DFT energy (no corrections) in eV per atom: -6.60
DOS at the Fermi energy in states/eV/cell: 7.54
Crystal system: tetragonal
Formation energy in eV per atom: -0.074